Th5SiSe5: optimized geometry, GGA-PBE.

Unit cell a=7.2596 b=7.2596 c=8.3943 alpha=106.74 beta=106.74 gamma=48.17
Last column: nearest neighbours and their distance in Å.
Sites, in units of the cell vectors:
Th (0.1639, 0.1639, 0.8401)  1 Si 2.89, 5 Se 2.97-3.10
Th (0.1605, 0.1605, 0.3237)  1 Si 2.87, 5 Se 2.95-3.03
Th (0.5000, 0.5000, 0.0000)  2 Si 2.96, 4 Se 2.97-3.00
Th (0.8395, 0.8395, 0.6763)  1 Si 2.87, 5 Se 2.95-3.03
Th (0.8361, 0.8361, 0.1599)  1 Si 2.89, 5 Se 2.97-3.10
Si (0.0000, 0.0000, 0.0000)  6 Th 2.87-2.96
Se (0.6594, 0.6594, 0.8180)  5 Th 2.97-3.08
Se (0.3351, 0.3351, 0.6598)  5 Th 2.97-3.10
Se (0.6649, 0.6649, 0.3402)  5 Th 2.97-3.10
Se (0.3406, 0.3406, 0.1820)  5 Th 2.97-3.08
Se (0.0000, 0.0000, 0.5000)  4 Th 2.95-2.99

Output
raw total energy: -6.9374 eV/atom


Th3SiSe2: optimized geometry, GGA-PBE.

Unit cell a=7.3393 b=7.3393 c=7.3052 alpha=99.61 beta=99.61 gamma=119.80
Last column: nearest neighbours and their distance in Å.
Sites, in units of the cell vectors:
Th (0.2642, 0.2642, 0.7630)  2 Si 2.92, 4 Se 2.99-3.05
Th (0.9195, 0.5773, 0.7599)  2 Si 2.92-2.93, 4 Se 3.01-3.06
Th (0.5773, 0.9195, 0.7599)  2 Si 2.92-2.93, 4 Se 3.01-3.06
Th (0.0805, 0.4227, 0.2401)  2 Si 2.92-2.93, 4 Se 3.01-3.06
Th (0.7358, 0.7358, 0.2370)  2 Si 2.92, 4 Se 2.99-3.05
Th (0.4227, 0.0805, 0.2401)  2 Si 2.92-2.93, 4 Se 3.01-3.06
Se (0.1637, 0.8363, 0.5000)  6 Th 3.01-3.06
Se (0.0000, 0.0000, 0.0000)  6 Th 3.00-3.01
Se (0.5000, 0.5000, 0.5000)  6 Th 2.99-3.06
Se (0.8363, 0.1637, 0.5000)  6 Th 3.01-3.06
Si (0.3325, 0.6675, 0.0000)  6 Th 2.92-2.93
Si (0.6675, 0.3325, 0.0000)  6 Th 2.92-2.93

Output
raw total energy: -7.0987 eV/atom


TmTlSiSe3: optimized geometry, GGA-PBE.

Unit cell a=7.8385 b=7.8385 c=11.2100 alpha=90.00 beta=90.00 gamma=150.62
Last column: nearest neighbours and their distance in Å.
Sites, in units of the cell vectors:
Se (0.3699, 0.6301, 0.9889)  1 Si 2.68, 2 Tm 2.80
Se (0.6301, 0.3699, 0.0111)  1 Si 2.68, 2 Tm 2.80
Se (0.6301, 0.3699, 0.4889)  1 Si 2.68, 2 Tm 2.80
Se (0.3699, 0.6301, 0.5111)  1 Si 2.68, 2 Tm 2.80
Se (0.9850, 0.0150, 0.7500)  2 Si 2.54, 2 Tm 2.81
Se (0.0150, 0.9850, 0.2500)  2 Si 2.54, 2 Tm 2.81
Tm (0.0000, 0.0000, 0.5000)  6 Se 2.80-2.81
Tm (0.0000, 0.0000, 0.0000)  6 Se 2.80-2.81
Tl (0.2807, 0.7193, 0.2500)  2 Si 3.15, 2 Se 3.22
Tl (0.7193, 0.2807, 0.7500)  2 Si 3.15, 2 Se 3.22
Si (0.6195, 0.3805, 0.2500)  4 Se 2.54-2.68
Si (0.3805, 0.6195, 0.7500)  4 Se 2.54-2.68

Output
raw total energy: -4.5792 eV/atom